DFT (GGA-PBE) results for Sr3Ga2Pd4Pb2 after structural relaxation.

Properties
Energy of formation from the pure elements ... -5.6 eV/f.u.

Cell lengths 4.6012, 4.6012, 15.3891 Å; angles 90.00, 90.00, 120.00 degrees
With the nearest neighbours (Å) after each atom.
Atoms (fractional coordinates):
Pd 0.6667 0.3333 0.1316  3 Ga 2.66
Sr 0.0000 0.0000 0.7356  6 Pd 3.20-3.35, 3 Ga 3.30
Pb 0.3333 0.6667 0.5691  4 Pd 2.77-2.90
Pb 0.6667 0.3333 0.4309  4 Pd 2.77-2.90
Pd 0.3333 0.6667 0.8684  3 Ga 2.66
Pd 0.6667 0.3333 0.6194  4 Pb 2.77-2.90
Sr 0.0000 0.0000 0.2643  6 Pd 3.20-3.35, 3 Ga 3.30
Ga 0.6667 0.3333 0.8626  3 Pd 2.66
Ga 0.3333 0.6667 0.1374  3 Pd 2.66
Sr 0.0000 0.0000 0.0000  6 Pd 3.34, 6 Ga 3.40
Pd 0.3333 0.6667 0.3806  4 Pb 2.77-2.90

DFT (GGA-PBE) results for Ta2BiTe4 after structural relaxation.

Properties
Raw formation energy ... -0.14 eV/atom

Cell lengths 8.1652, 8.1235, 9.6159 Å; angles 113.47, 127.59, 90.17 degrees
With the nearest neighbours (Å) after each atom.
Atoms (fractional coordinates):
Bi 0.3581 0.7852 0.5994  3 Te 2.93-2.97
Te 0.2895 0.0471 0.1527  3 Ta 2.73-2.80
Te 0.9494 0.1308 0.3291  3 Ta 2.77-2.81
Te 0.8498 0.6135 0.7069  3 Ta 2.71-2.80
Ta 0.0566 0.3427 0.7015  2 Ta 2.76-3.01, 6 Te 2.78-3.07
Te 0.4271 0.1760 0.8714  2 Bi 2.97-3.06, 2 Ta 3.07
Ta 0.6312 0.9098 0.2700  6 Te 2.73-3.06, 1 Ta 3.05
Te 0.4305 0.6301 0.8527  1 Bi 2.93, 2 Ta 2.94-2.95
Te 0.8755 0.0166 0.6695  3 Ta 2.73-2.84
Bi 0.8546 0.3439 0.9843  1 Ta 2.97, 3 Te 3.06-3.24
Ta 0.6585 0.3212 0.3179  2 Ta 2.74-3.01, 4 Te 2.80-3.06
Te 0.8723 0.6334 0.3205  2 Bi 2.97-3.06, 2 Ta 2.98-3.06
Te 0.3568 0.5472 0.1585  3 Ta 3.02-3.07
Ta 0.6402 0.2525 0.5656  3 Te 2.71-2.75, 2 Ta 2.74-2.76, 1 Bi 2.97